Compound: YWAuO2
Source: Alexandria
Functional: PBE+U
Structure: relaxed

## Properties
calculated total energy	-22.76	eV for the cell shown

Geometry as POSCAR:
```
YWAuO2
1.0
4.347 0.000 0.000
0.000 4.347 0.000
0.000 0.000 5.356
Y W Au O
1 1 1 2
Cartesian
0.000 0.000 0.000
2.174 2.174 0.000
0.000 0.000 2.678
0.000 2.174 2.678
2.174 0.000 2.678
```